[1]
# TiFeNiP

An optimized crystal structure of TiFeNiP (PBE-GGA, the Alexandria database).

Output
DOS at the Fermi energy   3.50 states/eV per cell
Space group   No. 8
Formation enthalpy at 0 K   -0.45 eV per atom
Total DFT energy (no corrections)   -29.35 eV/cell
Energy above the most stable polymorph in this dataset   60 kJ/mol of formula units

Cell: 4.257 4.257 4.342 Å, 112.92 112.92 44.73°
Atoms (fractional coordinates):
Ti1 0.000 0.000 0.000
Fe1 0.222 0.222 0.743
Ni1 0.436 0.436 0.417
P1 0.737 0.737 0.395

***

[2]
# SrErHg4

An optimized crystal structure of SrErHg4 (PBE-GGA, the Alexandria database).

Output
DOS at the Fermi energy   2.38 states/eV per cell
Space group   No. 12
Formation enthalpy at 0 K   -0.39 eV per atom
Total DFT energy (no corrections)   -9.78 eV/cell
Energy above the most stable polymorph in this dataset   0 kJ/mol of formula units

Cell: 5.685 5.685 8.235 Å, 109.46 109.46 40.41°
Atoms (fractional coordinates):
Sr1 0.000 0.000 0.000
Er1 0.000 0.000 0.500
Hg1 0.331 0.331 0.649
Hg2 0.334 0.334 0.192
Hg3 0.666 0.666 0.808
Hg4 0.669 0.669 0.351

***

[3]
# PmYGeSe

An optimized crystal structure of PmYGeSe (PBE-GGA, the Alexandria database).

Output
DOS at the Fermi energy   1.18 states/eV per cell
Space group   No. 160
Total DFT energy (no corrections)   -24.94 eV/cell

Cell: 7.305 7.305 7.305 Å, 33.33 33.33 33.33°
Atoms (fractional coordinates):
Pm1 0.000 0.000 0.000
Y1 0.508 0.508 0.508
Ge1 0.252 0.252 0.252
Se1 0.756 0.756 0.756

***

[4]
# ZrCu2Re

An optimized crystal structure of ZrCu2Re (PBE-GGA, the Alexandria database).

Output
DOS at the Fermi energy   3.08 states/eV per cell
Space group   No. 25
Formation enthalpy at 0 K   0.12 eV per atom
Total DFT energy (no corrections)   -28.69 eV/cell
Energy above the most stable polymorph in this dataset   16 kJ/mol of formula units

Cell: 3.292 3.303 5.718 Å, 90.00 90.00 90.00°
Atoms (fractional coordinates):
Zr1 0.000 0.000 0.000
Cu1 0.000 0.000 0.495
Cu2 0.500 0.500 0.284
Re1 0.500 0.500 0.736

***

[5]
# EuSc2Al

An optimized crystal structure of EuSc2Al (PBE-GGA, the Alexandria database).

Output
DOS at the Fermi energy   3.06 states/eV per cell
Space group   No. 123
Formation enthalpy at 0 K   -0.13 eV per atom
Total DFT energy (no corrections)   -27.20 eV/cell
Energy above the most stable polymorph in this dataset   0 kJ/mol of formula units

Cell: 3.347 3.347 8.964 Å, 90.00 90.00 90.00°
Atoms (fractional coordinates):
Eu1 0.000 0.000 0.000
Sc1 0.500 0.500 0.304
Sc2 0.500 0.500 0.696
Al1 0.000 0.000 0.500

***

[6]
# AgRuOF2

An optimized crystal structure of AgRuOF2 (PBE-GGA, the Alexandria database).

Output
DOS at the Fermi energy   5.24 states/eV per cell
Space group   No. 123
Total DFT energy (no corrections)   -20.14 eV/cell
Energy above the most stable polymorph in this dataset   483 kJ/mol of formula units

Cell: 4.283 4.283 4.133 Å, 90.00 90.00 90.00°
Atoms (fractional coordinates):
Ag1 0.000 0.000 0.000
Ru1 0.500 0.500 0.500
O1 0.000 0.000 0.500
F1 0.000 0.500 0.000
F2 0.500 0.000 0.000

***

[7]
# BaB2I

An optimized crystal structure of BaB2I (PBE-GGA, the Alexandria database).

Output
DOS at the Fermi energy   2.81 states/eV per cell
Space group   No. 122
Total DFT energy (no corrections)   -23.23 eV/cell
Energy above the most stable polymorph in this dataset   0 kJ/mol of formula units

Cell: 6.314 6.314 6.314 Å, 110.57 110.57 107.30°
Atoms (fractional coordinates):
Ba1 0.000 0.000 0.000
Ba2 0.750 0.250 0.500
B1 0.196 0.625 0.071
B2 0.375 0.446 0.571
B3 0.554 0.125 0.929
B4 0.875 0.804 0.429
I1 0.250 0.750 0.500
I2 0.500 0.500 0.000

***

[8]
# PaPt3

An optimized crystal structure of PaPt3 (PBE-GGA, the Alexandria database).

Output
DOS at the Fermi energy   5.86 states/eV per cell
Space group   No. 59
Formation enthalpy at 0 K   -0.99 eV per atom
Total DFT energy (no corrections)   -63.14 eV/cell
Energy above the most stable polymorph in this dataset   23 kJ/mol of formula units

Cell: 4.937 5.721 5.204 Å, 90.00 90.00 90.00°
Atoms (fractional coordinates):
Pa1 0.250 0.250 0.162
Pa2 0.750 0.750 0.838
Pt1 0.250 0.000 0.668
Pt2 0.250 0.500 0.668
Pt3 0.250 0.750 0.177
Pt4 0.750 0.000 0.332
Pt5 0.750 0.250 0.823
Pt6 0.750 0.500 0.332